(1)
This record from Alexandria describes a relaxed structure of K4Pm3US8. The functional is PBE. Values from VASP.

Cell and atoms, written as Quantum ESPRESSO input:
```
&SYSTEM
  ibrav = 0, nat = 16, ntyp = 4
/
ATOMIC_SPECIES
K 39.10 K.upf
Pm 145.00 Pm.upf
U 238.03 U.upf
S 32.06 S.upf
CELL_PARAMETERS angstrom
4.143 2.392 7.391
-4.143 2.392 7.391
0.000 -4.784 7.391
ATOMIC_POSITIONS crystal
K 0.000 0.000 0.000
K 0.000 0.500 0.500
K 0.500 0.000 0.500
K 0.500 0.500 0.000
Pm 0.000 0.000 0.500
Pm 0.000 0.500 0.000
Pm 0.500 0.000 0.000
U 0.500 0.500 0.500
S 0.236 0.236 0.236
S 0.241 0.732 0.732
S 0.268 0.268 0.759
S 0.268 0.759 0.268
S 0.732 0.241 0.732
S 0.732 0.732 0.241
S 0.759 0.268 0.268
S 0.764 0.764 0.764
```

## Properties
Its density of states at the Fermi level is 8.69 states/eV per cell. As for the space group: No. 166.

=====

(2)
This record from Alexandria describes a relaxed structure of KPm2US5. The functional is PBE. Values from VASP.

Cell and atoms, written as Quantum ESPRESSO input:
```
&SYSTEM
  ibrav = 0, nat = 9, ntyp = 4
/
ATOMIC_SPECIES
K 39.10 K.upf
Pm 145.00 Pm.upf
U 238.03 U.upf
S 32.06 S.upf
CELL_PARAMETERS angstrom
-2.514 3.587 6.935
2.514 -3.587 6.935
2.514 3.587 -6.935
ATOMIC_POSITIONS crystal
K 0.000 0.000 0.000
Pm 0.296 0.796 0.500
Pm 0.704 0.204 0.500
U 0.500 0.500 0.000
S 0.111 0.349 0.762
S 0.413 0.651 0.762
S 0.500 0.000 0.500
S 0.587 0.349 0.238
S 0.889 0.651 0.238
```

## Properties
Its density of states at the Fermi level is 6.68 states/eV per cell. As for the space group: No. 71.

=====

(3)
This record from Alexandria describes a relaxed structure of K2Pm2VS6. The functional is PBE. Values from VASP.

Cell and atoms, written as Quantum ESPRESSO input:
```
&SYSTEM
  ibrav = 0, nat = 11, ntyp = 4
/
ATOMIC_SPECIES
K 39.10 K.upf
Pm 145.00 Pm.upf
V 50.94 V.upf
S 32.06 S.upf
CELL_PARAMETERS angstrom
3.437 -5.836 0.000
3.437 5.836 0.000
-2.355 0.000 7.501
ATOMIC_POSITIONS crystal
K 0.172 0.828 0.000
K 0.828 0.172 0.000
Pm 0.333 0.667 0.500
Pm 0.667 0.333 0.500
V 0.000 0.000 0.500
S 0.066 0.363 0.692
S 0.225 0.225 0.310
S 0.363 0.066 0.692
S 0.637 0.934 0.308
S 0.775 0.775 0.690
S 0.934 0.637 0.308
```

## Properties
Its density of states at the Fermi level is 6.78 states/eV per cell. As for the space group: No. 12.

=====

| no. | E_form (uncorrected) (kcal/mol of atoms) |
| --- | --- |
| 1 | -39.902 |
| 2 | -37.901 |
| 3 | -33.769 |